Record 1
The following is a DFT calculation (PBE) of a geometry-optimized Ba3VN structure.

Cell: 5.639 5.639 5.639 Å, 90.00 90.00 90.00°
Space group Pm-3m (No. 221)
One atom of each set of equivalent atoms:
Ba 0.000 0.000 0.500 [3 per cell]
V 0.500 0.500 0.500 [1 per cell]
N 0.000 0.000 0.000 [1 per cell]

Summary:
The value obtained for the energy relative to the elements, uncorrected is 0.312 eV/atom.

Record 2
The following is a DFT calculation (PBE) of a geometry-optimized Zr4TcRu3 structure.

Cell: 3.283 4.638 9.268 Å, 90.00 90.00 90.00°
Space group Pmmm (No. 47)
One atom of each set of equivalent atoms:
Zr 0.000 0.000 0.000 [1 per cell]
Zr 0.000 0.000 0.500 [1 per cell]
Zr 0.000 0.500 0.248 [2 per cell]
Tc 0.500 0.500 0.000 [1 per cell]
Ru 0.500 0.000 0.252 [2 per cell]
Ru 0.500 0.500 0.500 [1 per cell]

Summary:
The calculation puts the calculated formation energy at -0.599 eV/atom.

Record 3
The following is a DFT calculation (PBE) of a geometry-optimized Pm2InH3 structure.

Cell: 14.888 3.800 7.976 Å, 90.00 112.01 90.00°
Space group C2/m (No. 12)
One atom of each set of equivalent atoms:
Pm 0.033 0.000 0.289 [4 per cell]
Pm 0.201 0.500 0.675 [4 per cell]
In 0.119 0.500 0.028 [4 per cell]
H 0.071 0.500 0.430 [4 per cell]
H 0.097 0.000 0.622 [4 per cell]
H 0.195 0.000 0.485 [4 per cell]

Summary:
The calculation puts the total energy at -101.53 eV/cell.

Record 4
The following is a DFT calculation (PBE) of a geometry-optimized UFeCo structure.

Cell: 2.842 2.842 10.923 Å, 90.00 90.00 90.00°
Space group I4mm (No. 107)
One atom of each set of equivalent atoms:
U 0.000 0.000 0.000 [2 per cell]
Fe 0.000 0.000 0.312 [2 per cell]
Co 0.000 0.000 0.685 [2 per cell]

Summary:
The calculation puts the calculated formation energy at 0.057 eV/atom.

Number 1: total moment 5.6 Bohr magnetons per cell. Number 2: total moment 0.0 Bohr magnetons per cell. Number 3: total moment 0.0 Bohr magnetons per cell. Number 4: total moment 5.0 Bohr magnetons per cell.